Density functional theory data (PBE-GGA) for a relaxed structure of Mg3ZnSn2.

DFT total energy: -2.442 eV per atom
DOS at the Fermi energy: 4.5 states/eV per cell
Crystal system: orthorhombic
Volume: 138.9 Å³/f.u.

a = 8.4688 Å, b = 8.4688 Å, c = 8.4688 Å
α = 138.10°, β = 62.27°, γ = 136.14°
Fractional coordinates of all 12 atoms:
Mg: 0.1672 0.2475 0.4147
Mg: 0.2500 0.2500 0.0000
Mg: 0.3328 0.7475 0.0803
Mg: 0.6672 0.2525 0.9197
Mg: 0.7500 0.7500 0.0000
Mg: 0.8328 0.7525 0.5853
Zn: 0.2500 0.7500 0.5000
Zn: 0.7500 0.2500 0.5000
Sn: 0.1313 0.7413 0.8726
Sn: 0.3687 0.2413 0.6101
Sn: 0.6313 0.7587 0.3899
Sn: 0.8687 0.2587 0.1274